The following is a PBE calculation of a geometry-optimized MnIn2W structure, from Alexandria.

Calculated values
Symmetry: Pmmm
Relative energy among the computed polymorphs, meV per atom: 177
Formation enthalpy at 0 K, eV per formula unit: 2.00
Crystal system: orthorhombic
Volume, A^3/atom: 18.09

Lattice parameters (Å, degrees): 4.2514 2.8750 6.5824 64.06 90.00 90.00
Fractional positions:
In  0.0000  0.9991  0.0012
In  0.0000  0.5009  0.4988
Mn  0.5000  0.2500  0.2500
W  0.5000  0.7500  0.7500